VASP calculation (PBE) on a relaxed Ni5PtRh2 crystal.

Energy relative to the elements: 0.02 eV per atom
DOS at the Fermi energy: 55.37 states/eV per cell
Total magnetization: 5.494 μB per formula unit

CIF file:
```
data_Ni5PtRh2
_cell_length_a 6.925
_cell_length_b 6.926
_cell_length_c 8.508
_cell_angle_alpha 90.70
_cell_angle_beta 91.01
_cell_angle_gamma 99.38
_space_group_name_H-M_alt 'P -1'
_space_group_IT_number 2
loop_
_space_group_symop_operation_xyz
'x,y,z'
'-x,-y,-z'
loop_
_atom_site_label
_atom_site_type_symbol
_atom_site_fract_x
_atom_site_fract_y
_atom_site_fract_z
Ni1 Ni 0.038 0.283 0.126
Ni2 Ni 0.085 0.085 0.367
Ni3 Ni 0.085 0.085 0.879
Ni4 Ni 0.170 0.665 0.629
Ni5 Ni 0.207 0.457 0.871
Ni6 Ni 0.285 0.038 0.127
Ni7 Ni 0.338 0.835 0.371
Ni8 Ni 0.418 0.418 0.623
Ni9 Ni 0.456 0.208 0.872
Ni10 Ni 0.460 0.210 0.376
Pt1 Pt 0.291 0.039 0.618
Pt2 Pt 0.414 0.410 0.126
Rh1 Rh 0.036 0.286 0.624
Rh2 Rh 0.161 0.667 0.122
Rh3 Rh 0.208 0.458 0.378
Rh4 Rh 0.335 0.840 0.878
```